Li3Mn4O8 | PBE+U | relaxed

a = 6.210 Å, b = 6.210 Å, c = 6.210 Å
α = 56.49°, β = 56.49°, γ = 56.49°
Each line ends with the local moment (μB).
Positions (direct):
Mn 0.500 0.000 0.500  3.55
Mn 0.000 0.500 0.500  3.55
Mn 0.500 0.500 0.500  4.63
Mn 0.500 0.500 0.000  3.55
O 0.755 0.281 0.755  -0.07
O 0.719 0.245 0.245  -0.07
O 0.755 0.755 0.281  -0.07
O 0.735 0.735 0.735  -0.10
O 0.245 0.245 0.719  -0.07
O 0.265 0.265 0.265  -0.10
O 0.245 0.719 0.245  -0.07
O 0.281 0.755 0.755  -0.07
Li 0.859 0.859 0.859  0.01
Li 0.141 0.141 0.141  0.01
Li 0.000 0.000 0.000  0.01

Results
The value obtained for the polymorph energy (0 for the lowest one) is 39 meV per atom. The value obtained for the density of states at the Fermi level is 4.7 states/eV/f.u. Its symmetry is R-3m. The crystal system is trigonal.